The following is a DFT calculation (PBE) of a relaxed structure of Tc3Mo4.

Properties
ΔE_f ... 0.08 eV per atom
Polymorph energy (0 for the lowest one) ... 0 meV/atom
Uncorrected energy ... -73.9 eV/cell

a b c (Å): 11.199 11.199 11.199
angles (deg): 163.92 163.92 22.81
Positions (direct):
1 Tc 0.000 0.000 0.000
2 Tc 0.288 0.288 0.000
3 Tc 0.712 0.712 0.000
4 Mo 0.143 0.143 0.000
5 Mo 0.428 0.428 0.000
6 Mo 0.572 0.572 0.000
7 Mo 0.857 0.857 0.000